# 1
A plane-wave DFT calculation with PBE was carried out for a geometry-optimized PtAuSe2 structure.

Magnetic moment   0.0 μB per formula unit
ρ   11.01 g/cm³
E_tot   -16.45 eV per cell
Raw formation energy   -40 meV per atom

abc: 4.0035 4.7415 4.7415
angles: 67.17 90.00 90.00
Sites, in units of the cell vectors:
1 Pt 0.0000 0.0000 0.0000
2 Au 0.5000 0.7638 0.7638
3 Se 0.0000 0.5509 0.5509
4 Se 0.5000 0.1891 0.1891



# 2
A plane-wave DFT calculation with PBE was carried out for a geometry-optimized Ac2DyTcO8 structure.

Magnetic moment   0.0 μB per formula unit
ρ   6.65 g/cm³
E_tot   -94.30 eV per cell
Raw formation energy   -2621 meV per atom

abc: 5.7427 6.1961 6.5418
angles: 74.81 76.55 71.59
Sites, in units of the cell vectors:
1 Ac 0.0850 0.1460 0.2058
2 Ac 0.9150 0.8540 0.7942
3 Dy 0.5000 0.5000 0.5000
4 Tc 0.5000 0.5000 0.0000
5 O 0.2251 0.8337 0.4817
6 O 0.2810 0.8062 0.9893
7 O 0.2843 0.4294 0.8549
8 O 0.3183 0.3988 0.2718
9 O 0.6817 0.6012 0.7282
10 O 0.7157 0.5706 0.1451
11 O 0.7190 0.1938 0.0107
12 O 0.7749 0.1663 0.5183



# 3
A plane-wave DFT calculation with PBE was carried out for a geometry-optimized BaNi2SnN structure.

Magnetic moment   0.0 μB per formula unit
ρ   6.89 g/cm³
E_tot   -54.38 eV per cell
Raw formation energy   -275 meV per atom

abc: 6.5096 6.5096 6.9718
angles: 90.00 90.00 140.82
Sites, in units of the cell vectors:
1 Ba 0.0594 0.9406 0.7500
2 Ba 0.9406 0.0594 0.2500
3 Ni 0.3626 0.6374 0.5741
4 Ni 0.3626 0.6374 0.9259
5 Ni 0.6374 0.3626 0.0741
6 Ni 0.6374 0.3626 0.4259
7 Sn 0.2241 0.7759 0.2500
8 Sn 0.7759 0.2241 0.7500
9 N 0.5000 0.5000 0.0000
10 N 0.5000 0.5000 0.5000



# 4
A plane-wave DFT calculation with PBE was carried out for a geometry-optimized ZnBiPb2 structure.

Magnetic moment   0.0 μB per formula unit
Energy relative to the lowest polymorph listed for this composition   8 meV per atom
ρ   9.70 g/cm³
E_tot   -12.05 eV per cell

abc: 5.5048 5.5048 5.5048
angles: 60.00 60.00 60.00
Sites, in units of the cell vectors:
1 Zn 0.0000 0.0000 0.0000
2 Bi 0.5000 0.5000 0.5000
3 Pb 0.2500 0.2500 0.2500
4 Pb 0.7500 0.7500 0.7500



# 5
A plane-wave DFT calculation with PBE was carried out for a geometry-optimized KTl2ZnAg structure.

Magnetic moment   0.0 μB per formula unit
Energy relative to the lowest polymorph listed for this composition   0 meV per atom
ρ   6.71 g/cm³
E_tot   -9.40 eV per cell

abc: 5.4304 5.4304 5.2129
angles: 90.00 90.00 90.00
Sites, in units of the cell vectors:
1 K 0.0000 0.0000 0.0000
2 Tl 0.0000 0.5000 0.5000
3 Tl 0.5000 0.0000 0.5000
4 Zn 0.5000 0.5000 0.5000
5 Ag 0.5000 0.5000 0.0000



# 6
A plane-wave DFT calculation with PBE was carried out for a geometry-optimized Tl2CdGa3F12 structure.

Magnetic moment   0.0 μB per formula unit
ρ   5.39 g/cm³
E_tot   -78.87 eV per cell
Raw formation energy   -2316 meV per atom

abc: 7.4445 7.4445 7.4445
angles: 60.53 60.53 60.53
Sites, in units of the cell vectors:
1 Tl 0.1306 0.1306 0.1306
2 Tl 0.8694 0.8694 0.8694
3 Cd 0.5000 0.5000 0.5000
4 Ga 0.0000 0.5000 0.5000
5 Ga 0.5000 0.0000 0.5000
6 Ga 0.5000 0.5000 0.0000
7 F 0.0943 0.6088 0.6088
8 F 0.2104 0.2104 0.5893
9 F 0.2104 0.5893 0.2104
10 F 0.3912 0.3912 0.9057
11 F 0.3912 0.9057 0.3912
12 F 0.4107 0.7896 0.7896
13 F 0.5893 0.2104 0.2104
14 F 0.6088 0.0943 0.6088
15 F 0.6088 0.6088 0.0943
16 F 0.7896 0.4107 0.7896
17 F 0.7896 0.7896 0.4107
18 F 0.9057 0.3912 0.3912



# 7
A plane-wave DFT calculation with PBE was carried out for a geometry-optimized ScTa4Tc structure.

Magnetic moment   0.0 μB per formula unit
ρ   12.66 g/cm³
E_tot   -62.69 eV per cell

abc: 5.4373 5.4373 5.4373
angles: 60.00 60.00 60.00
Sites, in units of the cell vectors:
1 Sc 0.0000 0.0000 0.0000
2 Ta 0.1242 0.6253 0.6253
3 Ta 0.6253 0.1242 0.6253
4 Ta 0.6253 0.6253 0.1242
5 Ta 0.6253 0.6253 0.6253
6 Tc 0.2500 0.2500 0.2500



# 8
A plane-wave DFT calculation with PBE was carried out for a geometry-optimized YAg structure.

Magnetic moment   0.0 μB per formula unit
ρ   7.30 g/cm³
E_tot   -18.92 eV per cell

abc: 5.0207 5.0207 5.0207
angles: 60.00 60.00 60.00
Sites, in units of the cell vectors:
1 Y 0.1250 0.1250 0.1250
2 Y 0.8750 0.8750 0.8750
3 Ag 0.3750 0.3750 0.3750
4 Ag 0.6250 0.6250 0.6250